(one)
Compound: Co2OsBr
Source: the Alexandria database
Functional: PBE
Structure: relaxed

a b c (Å): 2.8391 2.8391 24.2847
angles (deg): 90.00 90.00 120.00
Space group R-3m (No. 166, hexagonal axes)
Symmetry-distinct sites (fractional):
Co: 0.0000 0.0000 0.2481 x6
Os: 0.0000 0.0000 0.5000 x3
Br: 0.0000 0.0000 0.0000 x3

Computed properties:
The density is 11.4 g/cm³. For the density of states at the Fermi level, the calculation gives 1.437 states/eV/atom.

***

(two)
Compound: Co2OsBr
Source: the Alexandria database
Functional: PBE
Structure: relaxed

a b c (Å): 2.798 2.798 7.227
angles (deg): 90.00 90.00 90.00
Space group P4/mmm (No. 123)
Symmetry-distinct sites (fractional):
Co: 0.000 0.000 0.226 x2
Os: 0.500 0.500 0.000 x1
Br: 0.500 0.500 0.500 x1

Computed properties:
The density is 11.4 g/cm³. For the density of states at the Fermi level, the calculation gives 1.216 states/eV/atom.

***

The structure with the most favorable energy is (one); the runner-up is 0.024 eV/atom above it.

***

(one)
Compound: Co2OsBr
Source: the Alexandria database
Functional: PBE
Structure: relaxed

a b c (Å): 2.7668 2.7668 28.9179
angles (deg): 90.00 90.00 120.00
Space group R3m (No. 160, hexagonal axes)
Symmetry-distinct sites (fractional):
Co: 0.0000 0.0000 0.0000 x3
Co: 0.0000 0.0000 0.2670 x3
Os: 0.0000 0.0000 0.7350 x3
Br: 0.0000 0.0000 0.5306 x3

Computed properties:
The density is 10.1 g/cm³. For the density of states at the Fermi level, the calculation gives 1.363 states/eV/atom.

***

(two)
Compound: Co2OsBr
Source: the Alexandria database
Functional: PBE
Structure: relaxed

a b c (Å): 2.804 2.832 7.422
angles (deg): 90.00 90.00 90.00
Space group Pmmm (No. 47)
Symmetry-distinct sites (fractional):
Co: 0.000 0.000 0.215 x2
Os: 0.500 0.500 0.000 x1
Br: 0.000 0.500 0.500 x1

Computed properties:
The density is 10.9 g/cm³. For the density of states at the Fermi level, the calculation gives 1.378 states/eV/atom.

***

The structure with the most favorable energy is (two); the runner-up is 0.190 eV/atom above it.

***

(one)
Compound: Co2OsBr
Source: the Alexandria database
Functional: PBE
Structure: relaxed

a b c (Å): 6.121 6.121 6.121
angles (deg): 90.00 90.00 90.00
Space group Fm-3m (No. 225)
Symmetry-distinct sites (fractional):
Co: 0.250 0.250 0.250 x8
Os: 0.000 0.000 0.000 x4
Br: 0.000 0.000 0.500 x4

Computed properties:
The density is 11.2 g/cm³. For the density of states at the Fermi level, the calculation gives 1.867 states/eV/atom.

***

(two)
Compound: Co2OsBr
Source: the Alexandria database
Functional: PBE
Structure: relaxed

a b c (Å): 2.778 4.651 9.962
angles (deg): 90.00 90.00 90.00
Space group Cmm2 (No. 35)
Symmetry-distinct sites (fractional):
Co: 0.000 0.000 0.000 x2
Co: 0.000 0.500 0.190 x2
Os: 0.000 0.000 0.401 x2
Br: 0.000 0.500 0.767 x2

Computed properties:
The density is 10.0 g/cm³. For the density of states at the Fermi level, the calculation gives 1.272 states/eV/atom.

***

The structure with the most favorable energy is (two); the runner-up is 0.355 eV/atom above it.

***

(one)
Compound: Co2OsBr
Source: the Alexandria database
Functional: PBE
Structure: relaxed

a b c (Å): 2.869 4.504 8.615
angles (deg): 90.00 90.00 90.00
Space group Immm (No. 71)
Symmetry-distinct sites (fractional):
Co: 0.000 0.000 0.242 x4
Os: 0.000 0.500 0.000 x2
Br: 0.000 0.500 0.500 x2

Computed properties:
The density is 11.6 g/cm³. For the density of states at the Fermi level, the calculation gives 1.204 states/eV/atom.

***

(two)
Compound: Co2OsBr
Source: the Alexandria database
Functional: PBE
Structure: relaxed

a b c (Å): 2.908 4.851 8.495
angles (deg): 90.00 90.00 90.00
Space group Cmmm (No. 65)
Symmetry-distinct sites (fractional):
Co: 0.000 0.000 0.234 x4
Os: 0.000 0.500 0.000 x2
Br: 0.000 0.500 0.500 x2

Computed properties:
The density is 10.8 g/cm³. For the density of states at the Fermi level, the calculation gives 1.722 states/eV/atom.

***

The structure with the most favorable energy is (two); the runner-up is 0.184 eV/atom above it.